# 1
First-principles (PBE) data for PmHoGa3 after structural relaxation, as listed in OQMD.

The value obtained for the volume is 457 Å³ per cell. For the total DFT energy (no corrections), the calculation gives -4.35 eV/atom.

The structure belongs to space group Cmcm (No. 63); the cell edges are 4.256, 25.646 and 4.190 Å and the angles 90.00°, 90.00° and 90.00°. The asymmetric unit holds Pm at (0.000, 0.074, 0.250), Ho at (0.000, 0.204, 0.750), Ga at (0.000, 0.323, 0.750), Ga at (0.000, 0.379, 0.250) and Ga at (0.000, 0.476, 0.250).

---

# 2
First-principles (PBE) data for PmHoGa after structural relaxation, as listed in OQMD.

The value obtained for the volume is 354 Å³ per cell. The relative energy among the computed polymorphs is 0 meV per atom.

The structure belongs to space group F-43m (No. 216); the cell edges are 7.075, 7.075 and 7.075 Å and the angles 90.00°, 90.00° and 90.00°. The asymmetric unit holds Pm at (0.000, 0.000, 0.000), Ho at (0.000, 0.000, 0.500) and Ga at (0.250, 0.250, 0.750).

---

# 3
First-principles (PBE) data for PrHoGa2 after structural relaxation, as listed in OQMD.

The value obtained for the volume is 203 Å³ per cell. For the total DFT energy (no corrections), the calculation gives -4.45 eV/atom.

The structure belongs to space group Amm2 (No. 38); the cell edges are 4.118, 4.428 and 11.115 Å and the angles 90.00°, 90.00° and 90.00°. The asymmetric unit holds Pr at (0.000, 0.000, 0.000), Ho at (0.500, 0.000, 0.721), Ga at (0.000, 0.000, 0.282) and Ga at (0.500, 0.000, 0.429).

---

# 4
First-principles (PBE) data for PrHoGa5 after structural relaxation, as listed in OQMD.

The value obtained for the volume is 159 Å³ per cell. For the total DFT energy (no corrections), the calculation gives -3.89 eV/atom.

The structure belongs to space group P4/mmm (No. 123); the cell edges are 4.296, 4.296 and 8.633 Å and the angles 90.00°, 90.00° and 90.00°. The asymmetric unit holds Pr at (0.000, 0.000, 0.000), Ho at (0.000, 0.000, 0.500), Ga at (0.000, 0.500, 0.261) and Ga at (0.500, 0.500, 0.000).

---

# 5
First-principles (PBE) data for HoGaPt after structural relaxation, as listed in OQMD.

The value obtained for the volume is 283 Å³ per cell. For the total DFT energy (no corrections), the calculation gives -4.90 eV/atom.

The structure belongs to space group F-43m (No. 216); the cell edges are 6.563, 6.563 and 6.563 Å and the angles 90.00°, 90.00° and 90.00°. The asymmetric unit holds Ho at (0.000, 0.000, 0.000), Ga at (0.250, 0.250, 0.750) and Pt at (0.250, 0.250, 0.250).

---

# 6
First-principles (PBE) data for HoGaPt after structural relaxation, as listed in OQMD.

The value obtained for the volume is 234 Å³ per cell. For the total DFT energy (no corrections), the calculation gives -5.67 eV/atom.

The structure belongs to space group Pnma (No. 62); the cell edges are 6.867, 4.437 and 7.682 Å and the angles 90.00°, 90.00° and 90.00°. The asymmetric unit holds Ho at (0.013, 0.250, 0.200), Ga at (0.176, 0.250, 0.577) and Pt at (0.225, 0.750, 0.405).